Entry from Alexandria: a relaxed Ti2Zn2Au crystal (PBE-GGA).

Computed properties:
SG: I4/mmm, No. 139
VASP energy, eV/cell: -20.94
Formation energy, eV/f.u.: 0.7
Calculated density, g cm⁻³: 8.20

Unit cell a=3.749 b=3.749 c=6.654 alpha=73.64 beta=73.64 gamma=90.00
Atoms (fractional coordinates):
Ti  0.250  0.750  0.500
Ti  0.750  0.250  0.500
Zn  0.405  0.405  0.190
Zn  0.595  0.595  0.810
Au  0.000  0.000  0.000